(1)
{"formula": "LiRe2Au", "functional": "meta-GGA SCAN", "state": "PBEsol geometry", "spacegroup": "No. 139", "e_above_lowest_polymorph_mev_per_atom": 0, "delta_e_f_ev_per_atom": 0.237, "lattice": [[-1.8178, 1.8178, 4.3337], [1.8178, -1.8178, 4.3337], [1.8178, 1.8178, -4.3337]], "species": ["Li", "Re", "Re", "Au"], "fractional_positions": [[0.0000, 0.0000, 0.0000], [0.2500, 0.7500, 0.5000], [0.7500, 0.2500, 0.5000], [0.5000, 0.5000, 0.0000]]}


(2)
{"formula": "LiReAu3", "functional": "meta-GGA SCAN", "state": "PBEsol geometry", "spacegroup": "No. 221", "e_above_lowest_polymorph_mev_per_atom": 136, "delta_e_f_ev_per_atom": 0.929, "lattice": [[4.2670, 0.0000, 0.0000], [0.0000, 4.2670, 0.0000], [0.0000, 0.0000, 4.2670]], "species": ["Li", "Re", "Au", "Au", "Au"], "fractional_positions": [[0.0000, 0.0000, 0.0000], [0.5000, 0.5000, 0.5000], [0.0000, 0.0000, 0.5000], [0.0000, 0.5000, 0.0000], [0.5000, 0.0000, 0.0000]]}


(3)
{"formula": "LiRe2Au", "functional": "meta-GGA SCAN", "state": "PBEsol geometry", "spacegroup": "No. 216", "e_above_lowest_polymorph_mev_per_atom": 34, "delta_e_f_ev_per_atom": 0.272, "lattice": [[0.0000, 3.0658, 3.0658], [3.0658, 0.0000, 3.0658], [3.0658, 3.0658, 0.0000]], "species": ["Li", "Re", "Re", "Au"], "fractional_positions": [[0.0000, 0.0000, 0.0000], [0.2500, 0.2500, 0.2500], [0.5000, 0.5000, 0.5000], [0.7500, 0.7500, 0.7500]]}


(4)
{"formula": "Li4ReAu", "functional": "meta-GGA SCAN", "state": "PBEsol geometry", "spacegroup": "No. 216", "delta_e_f_ev_per_atom": 0.335, "lattice": [[0.0000, 3.3863, 3.3863], [3.3863, 0.0000, 3.3863], [3.3863, 3.3863, 0.0000]], "species": ["Li", "Li", "Li", "Li", "Re", "Au"], "fractional_positions": [[0.1253, 0.1253, 0.1253], [0.1253, 0.1253, 0.6240], [0.1253, 0.6240, 0.1253], [0.6240, 0.1253, 0.1253], [0.5000, 0.5000, 0.5000], [0.7500, 0.7500, 0.7500]]}


(5)
{"formula": "LiReAu3", "functional": "meta-GGA SCAN", "state": "PBEsol geometry", "spacegroup": "No. 221", "e_above_lowest_polymorph_mev_per_atom": 0, "delta_e_f_ev_per_atom": 0.793, "lattice": [[4.9823, 0.0000, 0.0000], [0.0000, 4.9823, 0.0000], [0.0000, 0.0000, 4.9823]], "species": ["Li", "Re", "Au", "Au", "Au"], "fractional_positions": [[0.0000, 0.0000, 0.0000], [0.5000, 0.5000, 0.5000], [0.0000, 0.5000, 0.5000], [0.5000, 0.0000, 0.5000], [0.5000, 0.5000, 0.0000]]}


(6)
{"formula": "LiTaRh2Au", "functional": "meta-GGA SCAN", "state": "PBEsol geometry", "spacegroup": "No. 123", "delta_e_f_ev_per_atom": 0.602, "lattice": [[4.0946, 0.0000, 0.0000], [0.0000, 4.0946, 0.0000], [0.0000, 0.0000, 4.2505]], "species": ["Li", "Ta", "Rh", "Rh", "Au"], "fractional_positions": [[0.0000, 0.0000, 0.0000], [0.0000, 0.0000, 0.5000], [0.0000, 0.5000, 0.0000], [0.5000, 0.0000, 0.0000], [0.5000, 0.5000, 0.5000]]}


(7)
{"formula": "Li2TcRhAu", "functional": "meta-GGA SCAN", "state": "PBEsol geometry", "spacegroup": "No. 123", "delta_e_f_ev_per_atom": 0.797, "lattice": [[4.2362, 0.0000, 0.0000], [0.0000, 4.2362, 0.0000], [0.0000, 0.0000, 5.0567]], "species": ["Li", "Li", "Tc", "Rh", "Au"], "fractional_positions": [[0.0000, 0.5000, 0.0000], [0.5000, 0.0000, 0.0000], [0.0000, 0.0000, 0.5000], [0.5000, 0.5000, 0.5000], [0.5000, 0.5000, 0.0000]]}


(8)
{"formula": "LiZn2RhAu", "functional": "meta-GGA SCAN", "state": "PBEsol geometry", "spacegroup": "No. 123", "delta_e_f_ev_per_atom": 0.361, "lattice": [[4.1781, 0.0000, 0.0000], [0.0000, 4.1781, 0.0000], [0.0000, 0.0000, 4.0624]], "species": ["Li", "Zn", "Zn", "Rh", "Au"], "fractional_positions": [[0.0000, 0.0000, 0.0000], [0.0000, 0.5000, 0.0000], [0.5000, 0.0000, 0.0000], [0.0000, 0.0000, 0.5000], [0.5000, 0.5000, 0.5000]]}


(9)
{"formula": "LiRu2Au", "functional": "meta-GGA SCAN", "state": "PBEsol geometry", "spacegroup": "No. 35", "e_above_lowest_polymorph_mev_per_atom": 60, "delta_e_f_ev_per_atom": 0.208, "lattice": [[1.3828, -2.2889, 0.0000], [1.3828, 2.2889, 0.0000], [0.0000, 0.0000, 9.1637]], "species": ["Li", "Ru", "Ru", "Au"], "fractional_positions": [[0.0000, 0.0000, 0.0000], [0.0000, 0.0000, 0.4782], [0.5000, 0.5000, 0.2471], [0.5000, 0.5000, 0.7541]]}


(10)
{"formula": "LiRuAu2", "functional": "meta-GGA SCAN", "state": "PBEsol geometry", "spacegroup": "No. 12", "delta_e_f_ev_per_atom": 0.116, "lattice": [[4.5135, -1.3259, 0.0000], [4.5135, 1.3259, 0.0000], [-0.6275, 0.0000, 5.0891]], "species": ["Li", "Ru", "Au", "Au"], "fractional_positions": [[0.0000, 0.0000, 0.0000], [0.5000, 0.5000, 0.5000], [0.2450, 0.2450, 0.7518], [0.7550, 0.7550, 0.2482]]}


(11)
{"formula": "LiRuAu", "functional": "meta-GGA SCAN", "state": "PBEsol geometry", "spacegroup": "No. 107", "delta_e_f_ev_per_atom": 0.119, "lattice": [[-1.3091, 1.3091, 6.3379], [1.3091, -1.3091, 6.3379], [1.3091, 1.3091, -6.3379]], "species": ["Li", "Ru", "Au"], "fractional_positions": [[0.0000, 0.0000, 0.0000], [0.6638, 0.6638, 0.0000], [0.3357, 0.3357, 0.0000]]}


(12)
{"formula": "LiRu2Au", "functional": "meta-GGA SCAN", "state": "PBEsol geometry", "spacegroup": "No. 71", "e_above_lowest_polymorph_mev_per_atom": 9, "delta_e_f_ev_per_atom": 0.157, "lattice": [[-1.3560, 2.0763, 5.2884], [1.3560, -2.0763, 5.2884], [1.3560, 2.0763, -5.2884]], "species": ["Li", "Ru", "Ru", "Au"], "fractional_positions": [[0.0000, 0.0000, 0.0000], [0.2833, 0.7833, 0.5000], [0.7167, 0.2167, 0.5000], [0.5000, 0.5000, 0.0000]]}


(13)
{"formula": "LiRu2Au", "functional": "meta-GGA SCAN", "state": "PBEsol geometry", "spacegroup": "No. 119", "e_above_lowest_polymorph_mev_per_atom": 0, "delta_e_f_ev_per_atom": 0.149, "lattice": [[-1.9498, 1.9498, 3.5967], [1.9498, -1.9498, 3.5967], [1.9498, 1.9498, -3.5967]], "species": ["Li", "Ru", "Ru", "Au"], "fractional_positions": [[0.0000, 0.0000, 0.0000], [0.2500, 0.7500, 0.5000], [0.5000, 0.5000, 0.0000], [0.7500, 0.2500, 0.5000]]}


(14)
{"formula": "LiRu2Au", "functional": "meta-GGA SCAN", "state": "PBEsol geometry", "spacegroup": "No. 123", "e_above_lowest_polymorph_mev_per_atom": 262, "delta_e_f_ev_per_atom": 0.410, "lattice": [[3.2911, 0.0000, 0.0000], [0.0000, 3.2911, 0.0000], [0.0000, 0.0000, 5.1226]], "species": ["Li", "Ru", "Ru", "Au"], "fractional_positions": [[0.0000, 0.0000, 0.0000], [0.5000, 0.5000, 0.2252], [0.5000, 0.5000, 0.7748], [0.0000, 0.0000, 0.5000]]}


(15)
{"formula": "Li2RuAu", "functional": "meta-GGA SCAN", "state": "PBEsol geometry", "spacegroup": "No. 25", "e_above_lowest_polymorph_mev_per_atom": 0, "delta_e_f_ev_per_atom": -0.016, "lattice": [[2.5800, 0.0000, 0.0000], [0.0000, 4.2783, 0.0000], [0.0000, 0.0000, 5.2045]], "species": ["Li", "Li", "Ru", "Au"], "fractional_positions": [[0.0000, 0.0000, 0.0000], [0.5000, 0.5000, 0.2458], [0.0000, 0.0000, 0.5074], [0.5000, 0.5000, 0.7358]]}


(16)
{"formula": "Li2RuAu", "functional": "meta-GGA SCAN", "state": "PBEsol geometry", "spacegroup": "No. 119", "e_above_lowest_polymorph_mev_per_atom": 66, "delta_e_f_ev_per_atom": 0.049, "lattice": [[-1.8783, 1.8783, 3.8817], [1.8783, -1.8783, 3.8817], [1.8783, 1.8783, -3.8817]], "species": ["Li", "Li", "Ru", "Au"], "fractional_positions": [[0.0000, 0.0000, 0.0000], [0.7500, 0.2500, 0.5000], [0.2500, 0.7500, 0.5000], [0.5000, 0.5000, 0.0000]]}


(17)
{"formula": "LiTlRuAu2", "functional": "meta-GGA SCAN", "state": "PBEsol geometry", "spacegroup": "No. 123", "delta_e_f_ev_per_atom": 0.485, "lattice": [[5.0353, 0.0000, 0.0000], [0.0000, 5.0353, 0.0000], [0.0000, 0.0000, 5.0642]], "species": ["Li", "Tl", "Ru", "Au", "Au"], "fractional_positions": [[0.0000, 0.0000, 0.0000], [0.5000, 0.5000, 0.0000], [0.5000, 0.5000, 0.5000], [0.0000, 0.5000, 0.5000], [0.5000, 0.0000, 0.5000]]}


(18)
{"formula": "LiSbAu", "functional": "meta-GGA SCAN", "state": "PBEsol geometry", "spacegroup": "No. 187", "e_above_lowest_polymorph_mev_per_atom": 131, "formation_energy_uncorrected_ev_per_atom": -0.51, "lattice": [[4.6303, 0.0000, 0.0000], [-2.3151, 4.0099, 0.0000], [0.0000, 0.0000, 3.2434]], "species": ["Li", "Sb", "Au"], "fractional_positions": [[0.0000, 0.0000, 0.0000], [0.6667, 0.3333, 0.5000], [0.3333, 0.6667, 0.5000]]}


(19)
{"formula": "Li2SbAu", "functional": "meta-GGA SCAN", "state": "PBEsol geometry", "spacegroup": "No. 25", "formation_energy_uncorrected_ev_per_atom": -0.39, "lattice": [[3.0266, 0.0000, 0.0000], [0.0000, 4.1016, 0.0000], [0.0000, 0.0000, 5.7756]], "species": ["Li", "Li", "Sb", "Au"], "fractional_positions": [[0.0000, 0.0000, 0.0000], [0.5000, 0.5000, 0.2744], [0.0000, 0.0000, 0.5123], [0.5000, 0.5000, 0.8149]]}


(20)
{"formula": "Li2SbAu", "functional": "meta-GGA SCAN", "state": "PBEsol geometry", "spacegroup": "No. 216", "formation_energy_uncorrected_ev_per_atom": -0.66, "lattice": [[0.0000, 3.2541, 3.2541], [3.2541, 0.0000, 3.2541], [3.2541, 3.2541, 0.0000]], "species": ["Li", "Li", "Sb", "Au"], "fractional_positions": [[0.0000, 0.0000, 0.0000], [0.2500, 0.2500, 0.2500], [0.7500, 0.7500, 0.7500], [0.5000, 0.5000, 0.5000]]}


(21)
{"formula": "LiSb2Au", "functional": "meta-GGA SCAN", "state": "PBEsol geometry", "spacegroup": "No. 123", "e_above_lowest_polymorph_mev_per_atom": 237, "formation_energy_uncorrected_ev_per_atom": -0.03, "lattice": [[3.2172, 0.0000, 0.0000], [0.0000, 3.2172, 0.0000], [0.0000, 0.0000, 8.1381]], "species": ["Li", "Sb", "Sb", "Au"], "fractional_positions": [[0.0000, 0.0000, 0.0000], [0.5000, 0.5000, 0.2477], [0.5000, 0.5000, 0.7523], [0.0000, 0.0000, 0.5000]]}


(22)
{"formula": "LiSb2Au", "functional": "meta-GGA SCAN", "state": "PBEsol geometry", "spacegroup": "No. 47", "e_above_lowest_polymorph_mev_per_atom": 0, "formation_energy_uncorrected_ev_per_atom": -0.27, "lattice": [[3.1915, 0.0000, 0.0000], [0.0000, 4.3475, 0.0000], [0.0000, 0.0000, 6.4761]], "species": ["Li", "Sb", "Sb", "Au"], "fractional_positions": [[0.0000, 0.0000, 0.0000], [0.5000, 0.5000, 0.2391], [0.5000, 0.5000, 0.7609], [0.5000, 0.0000, 0.5000]]}


(23)
{"formula": "Li2SbAu", "functional": "meta-GGA SCAN", "state": "PBEsol geometry", "spacegroup": "No. 25", "formation_energy_uncorrected_ev_per_atom": -0.53, "lattice": [[3.0471, 0.0000, 0.0000], [0.0000, 4.5955, 0.0000], [0.0000, 0.0000, 4.9245]], "species": ["Li", "Li", "Sb", "Au"], "fractional_positions": [[0.0000, 0.0000, 0.0000], [0.0000, 0.5000, 0.3370], [0.5000, 0.5000, 0.8297], [0.5000, 0.0000, 0.4819]]}


(24)
{"formula": "LiSb2Au", "functional": "meta-GGA SCAN", "state": "PBEsol geometry", "spacegroup": "No. 123", "e_above_lowest_polymorph_mev_per_atom": 60, "formation_energy_uncorrected_ev_per_atom": -0.21, "lattice": [[4.5249, 0.0000, 0.0000], [0.0000, 4.5249, 0.0000], [0.0000, 0.0000, 4.0612]], "species": ["Li", "Sb", "Sb", "Au"], "fractional_positions": [[0.0000, 0.0000, 0.0000], [0.0000, 0.5000, 0.5000], [0.5000, 0.0000, 0.5000], [0.5000, 0.5000, 0.0000]]}


(25)
{"formula": "LiSb2Au", "functional": "meta-GGA SCAN", "state": "PBEsol geometry", "spacegroup": "No. 71", "e_above_lowest_polymorph_mev_per_atom": 87, "formation_energy_uncorrected_ev_per_atom": -0.18, "lattice": [[-2.0220, 2.4113, 4.4736], [2.0220, -2.4113, 4.4736], [2.0220, 2.4113, -4.4736]], "species": ["Li", "Sb", "Sb", "Au"], "fractional_positions": [[0.0000, 0.0000, 0.0000], [0.2751, 0.7751, 0.5000], [0.7249, 0.2249, 0.5000], [0.5000, 0.5000, 0.0000]]}


(26)
{"formula": "Li2SbAu", "functional": "meta-GGA SCAN", "state": "PBEsol geometry", "spacegroup": "No. 47", "formation_energy_uncorrected_ev_per_atom": -0.54, "lattice": [[3.0430, 0.0000, 0.0000], [0.0000, 4.0477, 0.0000], [0.0000, 0.0000, 5.6723]], "species": ["Li", "Li", "Sb", "Au"], "fractional_positions": [[0.0000, 0.0000, 0.2394], [0.0000, 0.0000, 0.7606], [0.5000, 0.5000, 0.5000], [0.5000, 0.5000, 0.0000]]}


(27)
{"formula": "LiSb2Au", "functional": "meta-GGA SCAN", "state": "PBEsol geometry", "spacegroup": "No. 216", "e_above_lowest_polymorph_mev_per_atom": 202, "formation_energy_uncorrected_ev_per_atom": -0.06, "lattice": [[0.0000, 3.5306, 3.5306], [3.5306, 0.0000, 3.5306], [3.5306, 3.5306, 0.0000]], "species": ["Li", "Sb", "Sb", "Au"], "fractional_positions": [[0.0000, 0.0000, 0.0000], [0.2500, 0.2500, 0.2500], [0.5000, 0.5000, 0.5000], [0.7500, 0.7500, 0.7500]]}


(28)
{"formula": "Li2SbAu", "functional": "meta-GGA SCAN", "state": "PBEsol geometry", "spacegroup": "No. 65", "formation_energy_uncorrected_ev_per_atom": -0.54, "lattice": [[2.8885, -3.8296, 0.0000], [2.8885, 3.8296, 0.0000], [0.0000, 0.0000, 3.0999]], "species": ["Li", "Li", "Sb", "Au"], "fractional_positions": [[0.0000, 0.5000, 0.0000], [0.5000, 0.0000, 0.0000], [0.0000, 0.0000, 0.5000], [0.5000, 0.5000, 0.5000]]}


(29)
{"formula": "LiSbAu", "functional": "meta-GGA SCAN", "state": "PBEsol geometry", "spacegroup": "No. 216", "e_above_lowest_polymorph_mev_per_atom": 0, "formation_energy_uncorrected_ev_per_atom": -0.64, "lattice": [[0.0000, 3.1415, 3.1415], [3.1415, 0.0000, 3.1415], [3.1415, 3.1415, 0.0000]], "species": ["Li", "Sb", "Au"], "fractional_positions": [[0.0000, 0.0000, 0.0000], [0.5000, 0.5000, 0.5000], [0.2500, 0.2500, 0.2500]]}


(30)
{"formula": "Li2SbAu", "functional": "meta-GGA SCAN", "state": "PBEsol geometry", "spacegroup": "No. 123", "formation_energy_uncorrected_ev_per_atom": -0.57, "lattice": [[4.0773, 0.0000, 0.0000], [0.0000, 4.0773, 0.0000], [0.0000, 0.0000, 4.1194]], "species": ["Li", "Li", "Sb", "Au"], "fractional_positions": [[0.0000, 0.5000, 0.0000], [0.5000, 0.0000, 0.0000], [0.0000, 0.0000, 0.5000], [0.5000, 0.5000, 0.5000]]}


| no. | VASP energy (eV/atom) |
| --- | --- |
| 1 | -53.20 |
| 2 | -55.26 |
| 3 | -53.16 |
| 4 | -24.63 |
| 5 | -55.40 |
| 6 | -40.53 |
| 7 | -27.76 |
| 8 | -26.11 |
| 9 | -35.09 |
| 10 | -43.77 |
| 11 | -35.34 |
| 12 | -35.14 |
| 13 | -35.15 |
| 14 | -34.89 |
| 15 | -27.21 |
| 16 | -27.14 |
| 17 | -49.09 |
| 18 | -36.78 |
| 19 | -28.19 |
| 20 | -28.46 |
| 21 | -36.55 |
| 22 | -36.78 |
| 23 | -28.33 |
| 24 | -36.72 |
| 25 | -36.70 |
| 26 | -28.34 |
| 27 | -36.58 |
| 28 | -28.34 |
| 29 | -36.91 |
| 30 | -28.37 |